# 1
The following is a GGA-PBE calculation of a geometry-optimized Mg2Pd7Pt2 structure, from the Alexandria database.

Computed properties:
For the energy, the calculation gives -54.6 eV per cell. The value obtained for the calculated formation energy is -2.94 eV/f.u. Its offset from the most stable computed form is 0 meV/atom.

Geometry as POSCAR:
```
Mg2Pd7Pt2
1.0
4.028 0.000 -1.230
-1.017 5.811 -3.333
0.035 0.260 7.329
Mg Pd Pt
2 7 2
Cartesian
0.298 5.527 0.977 Mg
2.500 1.962 0.976 Mg
0.562 0.404 1.840 Pd
0.117 2.909 0.383 Pd
1.072 5.382 -3.702 Pd
0.937 2.896 3.070 Pd
1.859 4.603 -1.123 Pd
2.678 4.564 1.560 Pd
3.259 1.276 3.465 Pd
-0.634 3.620 -2.076 Pt
1.679 1.912 -1.711 Pt
```

---

# 2
The following is a GGA-PBE calculation of a geometry-optimized Mg2Pd7Pt3 structure, from the Alexandria database.

Computed properties:
For the energy, the calculation gives -59.7 eV per cell. The value obtained for the calculated formation energy is -2.04 eV/f.u. Its offset from the most stable computed form is 0 meV/atom.

Geometry as POSCAR:
```
Mg2Pd7Pt3
1.0
3.710 0.000 0.000
0.000 4.122 0.000
0.000 -2.061 13.355
Mg Pd Pt
2 7 3
Cartesian
0.000 2.061 9.233 Mg
0.000 0.000 4.122 Mg
0.000 0.000 11.328 Pd
0.000 2.061 5.889 Pd
0.000 0.000 0.000 Pd
0.000 2.061 2.027 Pd
1.855 0.000 2.047 Pd
1.855 2.061 11.308 Pd
0.000 0.000 7.466 Pd
1.855 2.061 0.000 Pt
1.855 2.061 4.000 Pt
1.855 0.000 9.355 Pt
```

---

# 3
The following is a GGA-PBE calculation of a geometry-optimized MgPd6Pt structure, from the Alexandria database.

Computed properties:
For the energy, the calculation gives -40.7 eV per cell. The value obtained for the calculated formation energy is -1.96 eV/f.u. Its offset from the most stable computed form is 0 meV/atom.

Geometry as POSCAR:
```
MgPd6Pt
1.0
4.020 0.000 0.000
0.000 5.556 -0.035
0.000 0.036 5.556
Mg Pd Pt
1 6 1
Cartesian
2.010 0.000 0.000 Mg
0.000 4.174 1.365 Pd
0.000 1.418 4.156 Pd
0.000 4.192 4.139 Pd
0.000 1.400 1.383 Pd
2.010 2.778 -0.017 Pd
2.010 0.018 2.778 Pd
2.010 2.796 2.761 Pt
```

---

# 4
The following is a GGA-PBE calculation of a geometry-optimized Mg6Pd3Pt structure, from the Alexandria database.

Computed properties:
For the energy, the calculation gives -36.0 eV per cell. The value obtained for the calculated formation energy is -4.79 eV/f.u.

Geometry as POSCAR:
```
Mg6Pd3Pt
1.0
7.102 -1.218 -0.860
2.385 4.829 -0.156
2.385 1.467 4.603
Mg Pd Pt
6 3 1
Cartesian
3.925 1.034 2.551 Mg
7.948 2.328 3.466 Mg
7.948 4.045 1.036 Mg
3.925 2.750 0.122 Mg
3.769 4.123 2.912 Mg
8.104 0.956 0.675 Mg
2.815 0.364 0.257 Pd
9.057 4.714 3.330 Pd
0.000 0.000 0.000 Pd
5.936 2.539 1.794 Pt
```

---

# 5
The following is a GGA-PBE calculation of a geometry-optimized MgPdPt structure, from the Alexandria database.

Computed properties:
For the energy, the calculation gives -58.4 eV per cell. The value obtained for the calculated formation energy is -1.78 eV/f.u. Its offset from the most stable computed form is 8 meV/atom.

Geometry as POSCAR:
```
MgPdPt
1.0
4.541 0.000 0.000
0.000 4.901 0.000
0.000 0.000 8.590
Mg Pd Pt
4 4 4
Cartesian
3.406 3.232 5.572 Mg
1.135 4.119 1.277 Mg
1.135 1.669 3.018 Mg
3.406 0.782 7.313 Mg
3.406 0.787 4.372 Pd
1.135 1.663 0.077 Pd
1.135 4.114 4.218 Pd
3.406 3.238 8.514 Pd
3.406 0.844 1.521 Pt
1.135 1.606 5.816 Pt
1.135 4.057 7.069 Pt
3.406 3.295 2.774 Pt
```

---

# 6
The following is a GGA-PBE calculation of a geometry-optimized Mg2PdPt5 structure, from the Alexandria database.

Computed properties:
For the energy, the calculation gives -86.6 eV per cell. The value obtained for the calculated formation energy is -4.72 eV/f.u.

Geometry as POSCAR:
```
Mg2PdPt5
1.0
-0.388 3.143 2.364
-5.573 -0.232 -0.605
-0.685 -6.784 8.905
Mg Pd Pt
4 2 10
Cartesian
-1.980 -2.716 6.588 Mg
-4.665 -1.157 4.076 Mg
-1.706 0.673 2.128 Mg
-4.940 -4.546 8.536 Mg
-0.343 -3.392 4.452 Pd
-2.786 -0.116 -0.303 Pd
0.000 0.000 0.000 Pt
-3.129 -3.508 4.150 Pt
-3.253 -5.197 6.375 Pt
-3.005 -1.819 1.925 Pt
-0.218 -1.693 2.215 Pt
-6.040 -5.323 6.084 Pt
-2.155 -4.412 8.813 Pt
-4.490 0.538 1.851 Pt
-1.873 -1.022 4.354 Pt
-4.773 -2.851 6.310 Pt
```

---

# 7
The following is a GGA-PBE calculation of a geometry-optimized MgPdPt structure, from the Alexandria database.

Computed properties:
For the energy, the calculation gives -29.3 eV per cell. The value obtained for the calculated formation energy is -1.80 eV/f.u. Its offset from the most stable computed form is 0 meV/atom.

Geometry as POSCAR:
```
MgPdPt
1.0
4.122 0.000 -1.733
0.000 5.457 0.000
-0.559 0.000 4.437
Mg Pd Pt
2 2 2
Cartesian
2.282 4.093 2.542 Mg
1.281 1.364 0.161 Mg
1.281 4.093 0.163 Pd
2.281 1.364 2.541 Pd
-0.280 2.728 2.219 Pt
-0.280 0.000 2.219 Pt
```

---

# 8
The following is a GGA-PBE calculation of a geometry-optimized Mg5Pd6Pt structure, from the Alexandria database.

Computed properties:
For the energy, the calculation gives -53.4 eV per cell. The value obtained for the calculated formation energy is -8.20 eV/f.u.

Geometry as POSCAR:
```
Mg5Pd6Pt
1.0
-1.366 -3.973 -0.554
4.074 -0.029 6.375
-6.188 4.337 0.364
Mg Pt Pd
5 1 6
Cartesian
-5.345 1.701 0.981 Mg
-2.838 2.912 2.326 Mg
-1.740 0.167 3.093 Mg
0.724 1.396 4.413 Mg
1.865 -1.366 5.204 Mg
0.000 0.000 0.000 Pt
-2.636 0.822 0.604 Pd
-4.299 0.982 3.558 Pd
-1.630 -1.895 1.405 Pd
-1.851 2.230 4.780 Pd
0.818 -0.647 2.627 Pd
-0.845 -0.488 5.581 Pd
```

---

# 9
The following is a GGA-PBE calculation of a geometry-optimized Mg8PdPt2 structure, from the Alexandria database.

Computed properties:
For the energy, the calculation gives -36.1 eV per cell. The value obtained for the calculated formation energy is -6.07 eV/f.u. Its offset from the most stable computed form is 3 meV/atom.

Geometry as POSCAR:
```
Mg8PdPt2
1.0
-3.362 0.921 -2.819
-0.954 -6.422 -0.959
-2.455 2.308 7.247
Mg Pd Pt
8 1 2
Cartesian
-3.802 -1.378 4.085 Mg
-3.957 -4.614 -0.353 Mg
-4.933 -2.481 1.508 Mg
-5.837 1.635 3.932 Mg
-1.839 -0.712 1.961 Mg
-2.815 1.422 3.822 Mg
-2.969 -1.815 -0.616 Mg
-0.934 -4.828 -0.462 Mg
-1.681 0.460 -1.409 Pd
-4.624 0.165 2.005 Pt
-2.147 -3.358 1.465 Pt
```

---

# 10
The following is a GGA-PBE calculation of a geometry-optimized MgPdPt4 structure, from the Alexandria database.

Computed properties:
For the energy, the calculation gives -66.5 eV per cell. The value obtained for the calculated formation energy is -2.28 eV/f.u. Its offset from the most stable computed form is 0 meV/atom.

Geometry as POSCAR:
```
MgPdPt4
1.0
-2.215 1.151 -4.190
-4.701 -2.422 1.820
-1.252 5.577 4.189
Mg Pd Pt
2 2 8
Cartesian
-4.572 0.381 1.586 Mg
-3.595 3.925 0.233 Mg
-5.932 2.680 1.133 Pd
-2.236 1.627 0.686 Pd
-3.647 2.780 2.817 Pt
-6.842 0.331 -0.100 Pt
-1.326 3.975 1.919 Pt
-4.521 1.527 -0.999 Pt
-2.351 -1.211 0.910 Pt
0.000 0.000 0.000 Pt
-5.880 4.333 3.466 Pt
-2.287 -0.026 -1.648 Pt
```

---

# 11
The following is a GGA-PBE calculation of a geometry-optimized MgPd3Pt2 structure, from the Alexandria database.

Computed properties:
For the energy, the calculation gives -62.6 eV per cell. The value obtained for the calculated formation energy is -2.06 eV/f.u. Its offset from the most stable computed form is 0 meV/atom.

Geometry as POSCAR:
```
MgPd3Pt2
1.0
-0.237 -2.530 -1.207
-1.328 -2.235 4.948
-11.490 2.039 -2.016
Mg Pd Pt
2 6 4
Cartesian
-9.836 -1.054 2.505 Mg
-3.220 -1.672 -0.780 Mg
-7.030 -0.989 -1.462 Pd
-6.025 -1.737 3.188 Pd
-3.879 -2.802 1.719 Pd
-9.176 0.076 0.007 Pd
-1.555 -1.295 1.381 Pd
-11.501 -1.431 0.345 Pd
-5.285 -0.632 0.725 Pt
-7.770 -2.094 1.000 Pt
-10.876 -0.302 -2.146 Pt
-2.179 -2.424 3.872 Pt
```

---

# 12
The following is a GGA-PBE calculation of a geometry-optimized MgPd7Pt2 structure, from the Alexandria database.

Computed properties:
For the energy, the calculation gives -47.0 eV per cell. The value obtained for the calculated formation energy is 2.98 eV/f.u.

Geometry as POSCAR:
```
MgPd7Pt2
1.0
-1.215 3.117 2.818
-2.966 -5.103 4.367
7.012 2.033 0.774
Mg Pd Pt
1 7 2
Cartesian
0.000 0.000 0.000 Mg
-0.961 -3.670 3.645 Pd
5.008 0.599 1.496 Pd
1.214 1.772 1.959 Pd
1.617 -1.725 6.000 Pd
-0.950 0.223 2.738 Pd
3.782 -0.177 5.220 Pd
1.416 0.023 3.979 Pd
-0.582 -1.405 4.699 Pt
3.414 1.452 3.260 Pt
```

---

# 13
The following is a GGA-PBE calculation of a geometry-optimized MgPd5Pt6 structure, from the Alexandria database.

Computed properties:
For the energy, the calculation gives -66.4 eV per cell. The value obtained for the calculated formation energy is -2.61 eV/f.u.

Geometry as POSCAR:
```
MgPd5Pt6
1.0
3.778 -0.007 -1.100
-2.542 6.727 -1.725
0.099 -0.286 7.389
Mg Pt Pd
1 6 5
Cartesian
0.000 0.000 0.000 Mg
0.774 0.441 2.657 Pt
1.440 3.660 4.941 Pt
2.224 1.606 0.591 Pt
-0.890 4.829 3.973 Pt
-0.105 2.775 -0.376 Pt
0.561 5.994 1.907 Pt
1.558 0.851 5.358 Pd
-0.782 2.053 4.350 Pd
0.667 3.217 2.282 Pd
-1.662 4.389 1.314 Pd
-0.224 5.584 -0.794 Pd
```

---

# 14
The following is a GGA-PBE calculation of a geometry-optimized Mg2Pd5Pt2 structure, from the Alexandria database.

Computed properties:
For the energy, the calculation gives -88.6 eV per cell. The value obtained for the calculated formation energy is -3.06 eV/f.u. Its offset from the most stable computed form is 0 meV/atom.

Geometry as POSCAR:
```
Mg2Pd5Pt2
1.0
-2.367 -3.048 -2.276
1.707 -5.330 5.363
-6.414 6.274 2.675
Mg Pd Pt
4 10 4
Cartesian
-0.292 -2.490 3.638 Mg
-6.653 -0.012 2.524 Mg
-2.329 -1.349 -0.181 Mg
-4.617 -1.153 6.343 Mg
-5.287 0.657 4.619 Pd
-1.090 -4.933 3.329 Pd
-7.325 1.797 0.799 Pd
-0.759 -0.743 1.786 Pd
-2.473 1.384 0.717 Pd
-5.040 -2.113 3.660 Pd
-2.803 -2.805 2.260 Pd
-4.711 2.076 2.117 Pd
-2.453 -1.822 4.993 Pd
-4.491 -0.683 1.172 Pd
1.486 -4.638 4.667 Pt
-0.551 -3.498 0.847 Pt
-3.023 -0.047 3.204 Pt
-3.352 -4.235 4.749 Pt
```

---

# 15
The following is a GGA-PBE calculation of a geometry-optimized MgPd6Pt structure, from the Alexandria database.

Computed properties:
For the energy, the calculation gives -36.2 eV per cell. The value obtained for the calculated formation energy is 2.60 eV/f.u. Its offset from the most stable computed form is 570 meV/atom.

Geometry as POSCAR:
```
MgPd6Pt
1.0
-2.597 -0.977 4.412
-1.650 -4.834 1.037
4.647 -3.306 5.082
Mg Pd Pt
1 6 1
Cartesian
0.000 0.000 0.000 Mg
-0.770 -7.715 8.600 Pd
0.517 -7.231 6.413 Pd
0.352 -3.798 2.445 Pd
-0.117 -1.887 4.117 Pd
1.170 -1.403 1.931 Pd
0.048 -5.319 8.086 Pd
0.200 -4.559 5.265 Pt
```

---

# 16
The following is a GGA-PBE calculation of a geometry-optimized Mg2Pd2Pt3 structure, from the Alexandria database.

Computed properties:
For the energy, the calculation gives -35.6 eV per cell. The value obtained for the calculated formation energy is -3.86 eV/f.u.

Geometry as POSCAR:
```
Mg2Pd2Pt3
1.0
-2.088 -2.810 -2.028
4.594 -1.107 0.840
-7.833 1.696 5.717
Mg Pd Pt
2 2 3
Cartesian
-3.383 -1.071 0.932 Mg
-1.944 -1.151 3.596 Mg
-0.733 -0.329 1.211 Pd
-4.594 -1.893 3.318 Pd
-3.917 0.848 2.858 Pt
-0.114 -2.342 -0.674 Pt
-5.213 0.120 5.202 Pt
```

---

# 17
The following is a GGA-PBE calculation of a geometry-optimized Mg5Pd8Pt structure, from the Alexandria database.

Computed properties:
For the energy, the calculation gives -61.4 eV per cell. The value obtained for the calculated formation energy is -5.81 eV/f.u.

Geometry as POSCAR:
```
Mg5Pd8Pt
1.0
-4.625 4.011 2.786
-2.619 -3.031 -5.403
1.917 -4.645 4.471
Mg Pd Pt
5 8 1
Cartesian
-0.805 -1.557 -1.269 Mg
-5.957 -0.277 -1.414 Mg
-3.980 -1.981 1.670 Mg
-1.354 -0.317 3.628 Mg
0.089 -3.514 4.720 Mg
-2.462 -1.990 -3.312 Pd
-3.219 0.389 5.214 Pd
-3.525 0.602 2.296 Pd
-2.299 -2.854 3.656 Pd
-3.419 -0.902 -0.753 Pd
-3.552 -4.392 0.511 Pd
-1.420 -1.337 1.295 Pd
-1.409 -4.175 -1.492 Pd
-1.028 -3.996 1.348 Pt
```

---

# 18
The following is a GGA-PBE calculation of a geometry-optimized Mg4Pd3Pt2 structure, from the Alexandria database.

Computed properties:
For the energy, the calculation gives -40.4 eV per cell. The value obtained for the calculated formation energy is -6.37 eV/f.u.

Geometry as POSCAR:
```
Mg4Pd3Pt2
1.0
4.445 0.001 0.000
2.222 3.847 0.143
-0.003 -0.309 8.370
Mg Pd Pt
4 3 2
Cartesian
4.442 2.291 7.569 Mg
2.223 3.744 2.896 Mg
4.442 -0.205 5.617 Mg
2.223 1.249 0.944 Mg
2.222 1.149 3.648 Pd
-0.003 -0.309 8.370 Pd
4.443 2.390 4.865 Pd
2.219 1.044 6.566 Pt
4.445 2.495 1.947 Pt
```

---

# 19
The following is a GGA-PBE calculation of a geometry-optimized Mg3PdPt4 structure, from the Alexandria database.

Computed properties:
For the energy, the calculation gives -79.1 eV per cell. The value obtained for the calculated formation energy is -5.41 eV/f.u.

Geometry as POSCAR:
```
Mg3PdPt4
1.0
-3.191 2.950 2.010
0.997 -2.436 5.160
6.632 6.087 1.592
Mg Pt Pd
6 8 2
Cartesian
0.000 0.000 0.000 Mg
3.316 3.044 0.796 Mg
2.988 6.402 2.445 Mg
0.454 2.636 1.157 Mg
3.417 5.249 5.069 Mg
1.022 1.353 3.693 Mg
-0.844 -0.361 4.893 Pt
2.472 2.683 5.690 Pt
-1.350 0.875 2.276 Pt
1.966 3.919 3.072 Pt
5.258 3.175 5.330 Pt
-0.330 2.232 5.964 Pt
-0.819 3.427 3.432 Pt
4.769 4.370 2.798 Pt
0.499 -1.218 2.580 Pd
3.815 1.826 3.376 Pd
```

---

# 20
The following is a GGA-PBE calculation of a geometry-optimized Mg7Pd2Pt3 structure, from the Alexandria database.

Computed properties:
For the energy, the calculation gives -45.4 eV per cell. The value obtained for the calculated formation energy is -5.73 eV/f.u.

Geometry as POSCAR:
```
Mg7Pd2Pt3
1.0
4.137 0.000 0.000
0.000 4.332 -0.860
0.000 0.198 12.332
Mg Pd Pt
7 2 3
Cartesian
0.000 1.980 9.971 Mg
0.000 3.187 4.709 Mg
0.000 0.000 0.000 Mg
0.000 2.549 1.500 Mg
2.068 0.412 2.073 Mg
2.068 4.118 9.399 Mg
0.000 1.343 6.762 Mg
0.000 3.792 7.754 Pd
0.000 0.738 3.717 Pd
2.068 2.166 -0.430 Pt
2.068 2.876 3.143 Pt
2.068 1.654 8.328 Pt
```

---

# 21
The following is a GGA-PBE calculation of a geometry-optimized Mg2Pd8Pt structure, from the Alexandria database.

Computed properties:
For the energy, the calculation gives -53.7 eV per cell. The value obtained for the calculated formation energy is -2.91 eV/f.u. Its offset from the most stable computed form is 0 meV/atom.

Geometry as POSCAR:
```
Mg2Pd8Pt
1.0
4.040 0.000 -1.230
-1.006 5.818 -3.305
0.022 0.230 7.325
Mg Pd Pt
2 8 1
Cartesian
0.106 4.151 0.348 Mg
2.951 1.898 2.443 Mg
1.763 5.113 -1.460 Pd
0.858 3.454 2.820 Pd
0.478 0.975 1.571 Pd
-0.299 1.730 -0.982 Pd
2.578 5.073 1.220 Pd
2.198 2.595 -0.029 Pd
1.294 0.935 4.251 Pd
3.356 4.318 3.774 Pd
2.020 0.000 -0.615 Pt
```